The following is a DFT calculation (PBE) of a relaxed CdHgS2 crystal.

E_tot: -2.75 eV per atom

Cell lengths 4.214, 4.214, 5.951 Å; angles 90.00, 90.00, 90.00 degrees
Fractional positions:
Cd  0.000  0.000  0.500
S  0.500  0.000  0.254
Hg  0.500  0.500  0.000
S  0.000  0.500  0.746